The following is a GGA-PBE calculation of an optimized crystal structure of Li8CaZn2, from Alexandria via LeMat-Bulk.

abc: 9.9397 9.9397 9.9397
angles: 146.67 146.67 47.85
Sites, in units of the cell vectors:
Li  0.0926  0.0926  0.4956
Li  0.0926  0.5970  0.0000
Li  0.4030  0.4030  0.4956
Li  0.4030  0.9074  0.0000
Li  0.5970  0.0926  0.0000
Li  0.5970  0.5970  0.5044
Li  0.9074  0.4030  0.0000
Li  0.9074  0.9074  0.5044
Ca  0.0000  0.0000  0.0000
Zn  0.2500  0.7500  0.5000
Zn  0.7500  0.2500  0.5000

E = -1.619 eV/atom
density of states at the Fermi level = 0.464 states/eV per atom
energy relative to the elements = 0.187 eV per atom
magnetization = 0.00 μB per formula unit

The following is a GGA-PBE calculation of an optimized crystal structure of LiAg2Os, from Alexandria via LeMat-Bulk.

abc: 4.9363 4.9363 5.1236
angles: 96.08 96.08 30.88
Sites, in units of the cell vectors:
Li  0.0000  0.0000  0.0000
Ag  0.2449  0.2449  0.7492
Ag  0.7551  0.7551  0.2508
Os  0.5000  0.5000  0.5000

E = -4.285 eV/atom
density of states at the Fermi level = 0.829 states/eV per atom
energy relative to the elements = 0.426 eV per atom
magnetization = 0.00 μB per formula unit

The following is a GGA-PBE calculation of an optimized crystal structure of Rb4Tm3InSe8, from Alexandria via LeMat-Bulk.

abc: 9.3411 9.3411 9.3411
angles: 53.27 53.27 53.27
Sites, in units of the cell vectors:
Rb  0.0000  0.0000  0.0000
Rb  0.0000  0.5000  0.5000
Rb  0.5000  0.0000  0.5000
Rb  0.5000  0.5000  0.0000
Tm  0.0000  0.0000  0.5000
Tm  0.0000  0.5000  0.0000
Tm  0.5000  0.0000  0.0000
In  0.5000  0.5000  0.5000
Se  0.2311  0.2311  0.2311
Se  0.2324  0.7301  0.7301
Se  0.2699  0.2699  0.7676
Se  0.2699  0.7676  0.2699
Se  0.7301  0.2324  0.7301
Se  0.7301  0.7301  0.2324
Se  0.7676  0.2699  0.2699
Se  0.7689  0.7689  0.7689

E = -4.478 eV/atom
uncorrected formation energy = -1.484 eV/atom
magnetization = 0.00 μB per formula unit